No. 1
DFT (PBE) results for a geometry-optimized SrThInAg structure.

Computed properties:
**Energy**: -15.3 eV/f.u.
**Fermi-level density of states**: 2.57 states/eV/f.u.
**Energy of formation from the pure elements**: -143 meV/atom
**Crystal system**: cubic
**Symmetry**: F-43m

Cell: 7.7903 7.7903 7.7903 Å, 90.00 90.00 90.00°
Last column: nearest neighbours and their distance in Å.
Element x y z (fractional)
Sr: 0.0000 0.0000 0.0000  4 Ag 3.37, 4 In 3.37
Sr: 0.0000 0.5000 0.5000  4 Ag 3.37, 4 In 3.37
Sr: 0.5000 0.0000 0.5000  4 Ag 3.37, 4 In 3.37
Sr: 0.5000 0.5000 0.0000  4 Ag 3.37, 4 In 3.37
Th: 0.0000 0.0000 0.5000  4 In 3.37, 4 Ag 3.37
Th: 0.0000 0.5000 0.0000  4 In 3.37, 4 Ag 3.37
Th: 0.5000 0.0000 0.0000  4 In 3.37, 4 Ag 3.37
Th: 0.5000 0.5000 0.5000  4 In 3.37, 4 Ag 3.37
In: 0.2500 0.2500 0.2500  4 Sr 3.37, 4 Th 3.37
In: 0.2500 0.7500 0.7500  4 Sr 3.37, 4 Th 3.37
In: 0.7500 0.2500 0.7500  4 Sr 3.37, 4 Th 3.37
In: 0.7500 0.7500 0.2500  4 Sr 3.37, 4 Th 3.37
Ag: 0.2500 0.2500 0.7500  4 Th 3.37, 4 Sr 3.37
Ag: 0.2500 0.7500 0.2500  4 Th 3.37, 4 Sr 3.37
Ag: 0.7500 0.2500 0.2500  4 Th 3.37, 4 Sr 3.37
Ag: 0.7500 0.7500 0.7500  4 Th 3.37, 4 Sr 3.37

=====

No. 2
DFT (PBE) results for a geometry-optimized CrCuSi structure.

Computed properties:
**Energy**: -18.7 eV/f.u.
**Fermi-level density of states**: 1.75 states/eV/f.u.
**Crystal system**: trigonal
**Energy relative to the elements, uncorrected**: 0.154 eV/atom
**Symmetry**: P3m1

Cell: 2.6244 2.6244 6.1378 Å, 90.00 90.00 120.00°
Last column: nearest neighbours and their distance in Å.
Element x y z (fractional)
Cr: 0.0000 0.0000 0.0000  3 Si 2.48, 3 Cu 2.62, 6 Cr 2.62
Cu: 0.6667 0.3333 0.3491  3 Si 2.54, 3 Cr 2.62, 6 Cu 2.62
Si: 0.3333 0.6667 0.6810  3 Cr 2.48, 3 Cu 2.54, 6 Si 2.62